Model a:
A relaxed structure of KMg14Co. Source: Alexandria via LeMat-Bulk, functional PBE-GGA.

```
data_KMg14Co
_cell_length_a 10.4215
_cell_length_b 6.3431
_cell_length_c 11.2835
_cell_angle_alpha 90.00
_cell_angle_beta 90.00
_cell_angle_gamma 90.00
_symmetry_space_group_name_H-M 'A m m 2'
_symmetry_Int_Tables_number 38
_symmetry_space_group_name_Hall 'A 2 -2'
loop_
_atom_site_label
_atom_site_fract_x
_atom_site_fract_y
_atom_site_fract_z
K1 0.0000 0.0000 0.0000
Mg1 0.0000 0.2396 0.2514
Mg2 0.2115 0.0000 0.6244
Mg3 0.2488 0.2417 0.3877
Mg4 0.2677 0.0000 0.1441
Mg5 0.5000 0.0000 0.4740
Mg6 0.5000 0.0000 0.9712
Mg7 0.5000 0.2432 0.7240
Co1 0.0000 0.0000 0.4490
```

Properties
* total magnetic moment: 2.2 Bohr magnetons per cell
* mass density: 1.95 g cm⁻³

Model b:
A relaxed structure of KMg14Co. Source: Alexandria via LeMat-Bulk, functional PBE-GGA.

```
data_KMg14Co
_cell_length_a 6.4245
_cell_length_b 6.4245
_cell_length_c 10.3981
_cell_angle_alpha 90.00
_cell_angle_beta 90.00
_cell_angle_gamma 120.00
_symmetry_space_group_name_H-M 'P -6 m 2'
_symmetry_Int_Tables_number 187
_symmetry_space_group_name_Hall 'P -6 2'
loop_
_atom_site_label
_atom_site_fract_x
_atom_site_fract_y
_atom_site_fract_z
K1 0.0000 0.0000 0.0000
Mg1 0.0108 0.5054 0.0000
Mg2 0.1624 0.3248 0.2783
Mg3 0.5061 0.0122 0.5000
Mg4 0.6667 0.3333 0.2396
Co1 0.0000 0.0000 0.5000
```

Properties
* total magnetic moment: 1.0 Bohr magnetons per cell
* mass density: 1.96 g cm⁻³

The least stable of them is model a.